Compound: TiMn6Al5
Source: Alexandria via LeMat-Bulk
Functional: PBE
Structure: optimized geometry

```
TiMn6Al5
1.0
-2.0921 2.9545 6.2757
2.0921 -2.9545 6.2757
2.0921 2.9545 -6.2757
Ti Mn Al
1 6 5
Direct
0.0000 0.0000 0.0000 Ti
0.0844 0.8303 0.2541 Mn
0.2565 0.5000 0.7565 Mn
0.4238 0.1697 0.2541 Mn
0.5762 0.8303 0.7459 Mn
0.7435 0.5000 0.2435 Mn
0.9156 0.1697 0.7459 Mn
0.1620 0.6620 0.5000 Al
0.3338 0.3338 0.0000 Al
0.5000 0.0000 0.5000 Al
0.6662 0.6662 0.0000 Al
0.8380 0.3380 0.5000 Al
```

Properties
DFT total energy	-7.07	eV/atom
ΔE_f	-0.2681	eV/atom
density	5.48	g/cm3



Compound: Ti2Mn2Al
Source: Alexandria via LeMat-Bulk
Functional: PBE
Structure: optimized geometry

```
Ti2Mn2Al
1.0
7.0950 0.0000 0.0000
0.0000 7.0950 0.0000
0.0000 0.0000 2.9072
Ti Mn Al
4 4 2
Direct
0.1296 0.3704 0.0000 Ti
0.3704 0.8704 0.0000 Ti
0.6296 0.1296 0.0000 Ti
0.8704 0.6296 0.0000 Ti
0.1826 0.6826 0.5000 Mn
0.3174 0.1826 0.5000 Mn
0.6826 0.8174 0.5000 Mn
0.8174 0.3174 0.5000 Mn
0.0000 0.0000 0.0000 Al
0.5000 0.5000 0.0000 Al
```

Properties
DFT total energy	-7.48	eV/atom
ΔE_f	0.0903	eV/atom
density	5.28	g/cm3



Compound: Ti4Mn5Al
Source: Alexandria via LeMat-Bulk
Functional: PBE
Structure: optimized geometry

```
Ti4Mn5Al
1.0
3.0038 0.0000 0.0000
0.0000 3.0038 0.0000
0.0000 0.0000 14.7786
Ti Mn Al
4 5 1
Direct
0.0000 0.0000 0.1001 Ti
0.0000 0.0000 0.3020 Ti
0.0000 0.0000 0.6980 Ti
0.0000 0.0000 0.8999 Ti
0.5000 0.5000 0.0000 Mn
0.5000 0.5000 0.2032 Mn
0.5000 0.5000 0.4013 Mn
0.5000 0.5000 0.5987 Mn
0.5000 0.5000 0.7968 Mn
0.0000 0.0000 0.5000 Al
```

Properties
DFT total energy	-8.37	eV/atom
ΔE_f	-0.2527	eV/atom
density	6.14	g/cm3



Repeat the first record exactly.
Compound: TiMn6Al5
Source: Alexandria via LeMat-Bulk
Functional: PBE
Structure: optimized geometry

```
TiMn6Al5
1.0
-2.0921 2.9545 6.2757
2.0921 -2.9545 6.2757
2.0921 2.9545 -6.2757
Ti Mn Al
1 6 5
Direct
0.0000 0.0000 0.0000 Ti
0.0844 0.8303 0.2541 Mn
0.2565 0.5000 0.7565 Mn
0.4238 0.1697 0.2541 Mn
0.5762 0.8303 0.7459 Mn
0.7435 0.5000 0.2435 Mn
0.9156 0.1697 0.7459 Mn
0.1620 0.6620 0.5000 Al
0.3338 0.3338 0.0000 Al
0.5000 0.0000 0.5000 Al
0.6662 0.6662 0.0000 Al
0.8380 0.3380 0.5000 Al
```

Properties
DFT total energy	-7.07	eV/atom
ΔE_f	-0.2681	eV/atom
density	5.48	g/cm3